Entry 1:
# InGaPd2

A relaxed structure of InGaPd2 (GGA-PBE, Alexandria via LeMat-Bulk).

The structure in POSCAR format:
```
InGaPd2
1.0
-2.966 0.555 -2.837
-3.092 -2.737 -0.327
-4.650 1.856 2.200
In Ga Pd
1 1 2
Cartesian
-5.428 -0.089 -0.389 In
-8.607 0.322 -0.010 Ga
-4.153 1.368 1.585 Pd
-2.522 -0.233 -0.432 Pd
```

Symmetry: R3m, No. 160
Formation enthalpy at 0 K (eV/atom): -0.461

Entry 2:
# Te2MoW2S4

A relaxed structure of Te2MoW2S4 (GGA-PBE, Alexandria via LeMat-Bulk).

The structure in POSCAR format:
```
Te2MoW2S4
1.0
3.297 0.000 0.000
-1.649 2.855 0.000
0.000 0.000 22.798
Te Mo W S
2 1 2 4
Cartesian
0.000 1.904 1.918 Te
0.000 1.904 20.880 Te
1.649 0.952 0.000 Mo
0.000 1.904 15.327 W
0.000 1.904 7.471 W
1.649 0.952 13.791 S
1.649 0.952 5.935 S
1.649 0.952 16.864 S
1.649 0.952 9.007 S
```

Polymorph energy (0 for the lowest one) (eV/f.u.): 0.00
Symmetry: P-6m2, No. 187
Uncorrected formation energy (eV/atom): -0.57

Entry 3:
# Li2TbDySi2

A relaxed structure of Li2TbDySi2 (GGA-PBE, Alexandria via LeMat-Bulk).

The structure in POSCAR format:
```
Li2TbDySi2
1.0
-0.693 -4.235 -0.863
2.487 2.402 -2.684
5.796 -1.728 3.823
Li Tb Dy Si
2 1 1 2
Cartesian
5.751 -1.099 0.775 Li
1.839 -2.461 -0.499 Li
0.000 0.000 0.000 Tb
2.898 -0.864 1.912 Dy
2.886 -0.245 -1.115 Si
4.704 -3.316 1.391 Si
```

Symmetry: P-3m1, No. 164
Uncorrected formation energy (eV/atom): -0.57

Entry 4:
# Zn2TeAs

A relaxed structure of Zn2TeAs (GGA-PBE, Alexandria via LeMat-Bulk).

The structure in POSCAR format:
```
Zn2TeAs
1.0
5.962 0.000 0.000
0.000 5.962 0.000
2.981 2.981 5.847
As Te Zn
2 2 4
Cartesian
2.981 2.981 0.000 As
2.981 5.962 2.924 As
0.000 0.000 0.000 Te
5.962 2.981 2.924 Te
4.273 1.490 1.462 Zn
1.689 4.471 1.462 Zn
4.471 4.669 4.385 Zn
7.452 7.254 4.385 Zn
```

Polymorph energy (0 for the lowest one) (eV/f.u.): 0.00
Symmetry: I-42d, No. 122
Uncorrected formation energy (eV/atom): -0.18